Entry from Alexandria via LeMat-Bulk: a relaxed AsAuN2F crystal (GGA-PBE).

The structure in POSCAR format:
```
AsAuN2F
1.0
3.8854 0.0000 0.0000
0.0000 3.8854 0.0000
0.0000 0.0000 3.9668
N As Au F
2 1 1 1
Direct
0.0000 0.5000 0.0000
0.5000 0.0000 0.0000
0.0000 0.0000 0.0000
0.5000 0.5000 0.5000
0.0000 0.0000 0.5000
```

ΔE_f (raw)	0.92	eV per atom
D(E_F)	2.9	states/eV per cell